Compound: TiTeW2O
Source: Alexandria
Functional: PBE+U
Structure: optimized geometry

abc: 5.522 5.522 5.073
angles: 90.00 90.00 90.00
Space group P4/mmm (No. 123)
Asymmetric unit:
Ti 0.000 0.000 0.000 x1
Te 0.000 0.000 0.500 x1
W 0.000 0.500 0.500 x2
O 0.500 0.500 0.000 x1

Properties
- density of states at the Fermi level (states/eV per atom) = 1.01
- energy (eV per atom) = -3.918